Computed, not measured: Ce3Zn2Hg3 after structural relaxation at the GGA-PBE level of DFT.

Unit cell a=9.051 b=9.051 c=4.820 alpha=105.28 beta=105.28 gamma=29.87
Element x y z (fractional)
Ce (0.000, 0.000, 0.000)
Ce (0.136, 0.136, 0.637)
Ce (0.864, 0.864, 0.363)
Zn (0.246, 0.246, 0.246)
Zn (0.754, 0.754, 0.754)
Hg (0.352, 0.352, 0.851)
Hg (0.500, 0.500, 0.500)
Hg (0.648, 0.648, 0.149)

Results
ΔH_f (0 K): -0.255 eV/atom
N(E_F): 17.81 states/eV/f.u.
total moment: 0.391 μB/atom
DFT total energy: -2.91 eV per atom

Computed, not measured: Ce3Zn8Hg3 after structural relaxation at the GGA-PBE level of DFT.

Unit cell a=8.559 b=8.559 c=8.559 alpha=149.03 beta=115.81 gamma=72.97
Element x y z (fractional)
Ce (0.000, 0.000, 0.000)
Ce (0.299, 0.299, 0.000)
Ce (0.701, 0.701, 0.000)
Zn (0.033, 0.668, 0.366)
Zn (0.119, 0.849, 0.270)
Zn (0.302, 0.668, 0.634)
Zn (0.421, 0.151, 0.270)
Zn (0.579, 0.849, 0.730)
Zn (0.698, 0.332, 0.366)
Zn (0.881, 0.151, 0.730)
Zn (0.967, 0.332, 0.634)
Hg (0.285, 0.500, 0.785)
Hg (0.500, 0.000, 0.500)
Hg (0.715, 0.500, 0.215)

Results
ΔH_f (0 K): -0.254 eV/atom
N(E_F): 19.94 states/eV/f.u.
total moment: 0.181 μB/atom
DFT total energy: -2.32 eV per atom

Computed, not measured: Ce2ZnHg6 after structural relaxation at the GGA-PBE level of DFT.

Unit cell a=8.953 b=8.953 c=3.406 alpha=90.00 beta=90.00 gamma=123.35
Element x y z (fractional)
Ce (0.196, 0.804, 0.000)
Ce (0.804, 0.196, 0.000)
Zn (0.500, 0.500, 0.500)
Hg (0.170, 0.470, 0.500)
Hg (0.174, 0.174, 0.000)
Hg (0.470, 0.170, 0.500)
Hg (0.530, 0.830, 0.500)
Hg (0.826, 0.826, 0.000)
Hg (0.830, 0.530, 0.500)

Results
ΔH_f (0 K): -0.144 eV/atom
N(E_F): 14.83 states/eV/f.u.
total moment: 0.282 μB/atom
DFT total energy: -1.81 eV per atom

Computed, not measured: Ce4ZnHg after structural relaxation at the GGA-PBE level of DFT.

Unit cell a=5.951 b=5.951 c=5.951 alpha=127.61 beta=120.55 gamma=83.20
Element x y z (fractional)
Ce (0.082, 0.840, 0.242)
Ce (0.402, 0.160, 0.242)
Ce (0.598, 0.840, 0.758)
Ce (0.918, 0.160, 0.758)
Zn (0.000, 0.500, 0.500)
Hg (0.500, 0.500, 0.000)

Results
ΔH_f (0 K): -0.124 eV/atom
N(E_F): 15.64 states/eV/f.u.
total moment: 0.227 μB/atom
DFT total energy: -4.34 eV per atom

Computed, not measured: Ce3Zn4Hg2 after structural relaxation at the GGA-PBE level of DFT.

Unit cell a=5.856 b=5.856 c=8.931 alpha=116.85 beta=116.85 gamma=48.42
Element x y z (fractional)
Ce (0.000, 0.000, 0.000)
Ce (0.333, 0.333, 0.328)
Ce (0.667, 0.667, 0.672)
Zn (0.046, 0.046, 0.387)
Zn (0.265, 0.265, 0.940)
Zn (0.735, 0.735, 0.060)
Zn (0.954, 0.954, 0.613)
Hg (0.385, 0.385, 0.719)
Hg (0.615, 0.615, 0.281)

Results
ΔH_f (0 K): -0.307 eV/atom
N(E_F): 17.66 states/eV/f.u.
total moment: 0.364 μB/atom
DFT total energy: -2.92 eV per atom

Computed, not measured: Ce5ZnHg2 after structural relaxation at the GGA-PBE level of DFT.

Unit cell a=9.963 b=9.963 c=9.963 alpha=152.85 beta=152.85 gamma=38.77
Element x y z (fractional)
Ce (0.000, 0.000, 0.000)
Ce (0.124, 0.624, 0.500)
Ce (0.376, 0.876, 0.500)
Ce (0.624, 0.124, 0.500)
Ce (0.876, 0.376, 0.500)
Zn (0.500, 0.500, 0.000)
Hg (0.250, 0.250, 0.000)
Hg (0.750, 0.750, 0.000)

Results
ΔH_f (0 K): -0.125 eV/atom
N(E_F): 23.06 states/eV/f.u.
total moment: 0.652 μB/atom
DFT total energy: -4.07 eV per atom

Computed, not measured: Ce2Zn15Hg2 after structural relaxation at the GGA-PBE level of DFT.

Unit cell a=6.949 b=6.949 c=6.949 alpha=82.95 beta=82.95 gamma=82.95
Element x y z (fractional)
Ce (0.158, 0.158, 0.158)
Ce (0.842, 0.842, 0.842)
Zn (0.000, 0.500, 0.500)
Zn (0.146, 0.146, 0.668)
Zn (0.146, 0.668, 0.146)
Zn (0.198, 0.500, 0.802)
Zn (0.198, 0.802, 0.500)
Zn (0.332, 0.854, 0.854)
Zn (0.500, 0.000, 0.500)
Zn (0.500, 0.198, 0.802)
Zn (0.500, 0.500, 0.000)
Zn (0.500, 0.802, 0.198)
Zn (0.668, 0.146, 0.146)
Zn (0.802, 0.198, 0.500)
Zn (0.802, 0.500, 0.198)
Zn (0.854, 0.332, 0.854)
Zn (0.854, 0.854, 0.332)
Hg (0.392, 0.392, 0.392)
Hg (0.608, 0.608, 0.608)

Results
ΔH_f (0 K): -0.189 eV/atom
N(E_F): 14.13 states/eV/f.u.
total moment: 0.095 μB/atom
DFT total energy: -1.85 eV per atom

Computed, not measured: Ce2Zn7Hg after structural relaxation at the GGA-PBE level of DFT.

Unit cell a=4.334 b=4.334 c=10.525 alpha=90.00 beta=90.00 gamma=90.00
Element x y z (fractional)
Ce (0.000, 0.500, 0.239)
Ce (0.500, 0.000, 0.761)
Zn (0.000, 0.000, 0.000)
Zn (0.000, 0.500, 0.646)
Zn (0.000, 0.500, 0.876)
Zn (0.500, 0.000, 0.124)
Zn (0.500, 0.000, 0.354)
Zn (0.500, 0.500, 0.000)
Zn (0.500, 0.500, 0.500)
Hg (0.000, 0.000, 0.500)

Results
ΔH_f (0 K): -0.230 eV/atom
N(E_F): 15.32 states/eV/f.u.
total moment: 0.196 μB/atom
DFT total energy: -2.34 eV per atom